1.
First-principles (PBE) data for Ca3SmNi8 after structural relaxation, as listed in Alexandria via LeMat-Bulk.

Calculated values
For the electronic total energy, the calculation gives -4.984 eV/atom.

a = 5.100 Å, b = 5.100 Å, c = 8.822 Å
α = 73.20°, β = 73.20°, γ = 60.00°
Element x y z (fractional)
Sm 0.876 0.876 0.373
Ni 0.438 0.438 0.189
Ni 0.935 0.438 0.189
Ni 0.187 0.187 0.438
Ni 0.688 0.688 0.937
Ni 0.440 0.937 0.685
Ni 0.937 0.937 0.685
Ni 0.438 0.935 0.189
Ni 0.937 0.440 0.685
Ca 0.498 0.498 0.507
Ca 0.374 0.374 0.878
Ca 0.002 0.002 0.993

2.
First-principles (PBE) data for CaSmNi4 after structural relaxation, as listed in Alexandria via LeMat-Bulk.

Calculated values
For the electronic total energy, the calculation gives -5.263 eV/atom.

a = 5.105 Å, b = 5.105 Å, c = 5.105 Å
α = 60.00°, β = 60.00°, γ = 60.00°
Element x y z (fractional)
Ni 0.124 0.625 0.625
Ni 0.625 0.625 0.625
Ni 0.625 0.124 0.625
Ni 0.625 0.625 0.124
Sm 0.250 0.250 0.250
Ca 0.000 0.000 0.000

3.
First-principles (PBE) data for CaSm2Ni after structural relaxation, as listed in Alexandria via LeMat-Bulk.

Calculated values
Its polymorph energy (0 for the lowest one) is 0.06 eV/f.u.

a = 4.010 Å, b = 4.010 Å, c = 9.641 Å
α = 78.00°, β = 78.00°, γ = 60.00°
Element x y z (fractional)
Sm 0.053 0.053 0.842
Sm 0.280 0.280 0.160
Ni 0.666 0.666 0.002
Ca 0.501 0.501 0.496

Number 1: D(E_F) 1.138 states/eV/atom, total moment 0.000 μB/f.u.. Number 2: D(E_F) 1.111 states/eV/atom, total moment 0.000 μB/f.u.. Number 3: D(E_F) 1.100 states/eV/atom, total moment 0.000 μB/f.u..